A plane-wave DFT calculation with PBE was carried out for crystalline ZrHg2Os at its relaxed geometry.

Results
Energy above the lowest structure with this stoichiometry in meV per atom: 191
SG: No. 123
Magnetization in Bohr magnetons per cell: 0.000

abc: 4.082 4.080 4.631
angles: 90.00 90.00 90.00
Positions (direct):
1 Hg 0.000 0.000 0.000
2 Hg 0.500 0.500 0.000
3 Os 0.500 0.000 0.500
4 Zr 0.000 0.500 0.500